Computed, not measured: TiW2Br after structural relaxation at the PBEsol level of DFT.

Computed properties:
- total energy (eV/atom) = -8.410
- total magnetic moment (μB/atom) = 0.00
- space-group type = No. 225
- calculated density (g/cm³) = 12.98

POSCAR file:
```
TiW2Br
1.0
4.4753 0.0000 0.0000
2.2377 3.8757 0.0000
2.2377 1.2919 3.6541
Br W Ti
1 2 1
direct
0.5000 0.5000 0.5000
0.7500 0.7500 0.7500
0.2500 0.2500 0.2500
0.0000 0.0000 0.0000
```



Computed, not measured: AlSbBr2 after structural relaxation at the PBEsol level of DFT.

Computed properties:
- total energy (eV/atom) = -3.016
- total magnetic moment (μB/atom) = 0.00
- space-group type = No. 65
- calculated density (g/cm³) = 5.16

POSCAR file:
```
AlSbBr2
1.0
3.4162 0.0000 0.0000
0.0000 5.3882 0.0761
0.0000 -0.0823 5.3881
Br Sb Al
2 1 1
direct
0.0000 0.5000 0.0000
0.0000 0.0000 0.5000
0.5000 0.0000 0.0000
0.5000 0.5000 0.5000
```



Computed, not measured: CaTa4Tc after structural relaxation at the PBEsol level of DFT.

Computed properties:
- total energy (eV/atom) = -10.018
- total magnetic moment (μB/atom) = 0.00
- space-group type = No. 216
- calculated density (g/cm³) = 12.53
- energy of formation from the pure elements (kcal/mol of atoms) = 13.43

POSCAR file:
```
CaTa4Tc
1.0
-2.4890 1.0085 4.7376
-1.9184 -4.1208 2.9993
2.4344 -1.3185 4.6896
Ca Tc Ta
1 1 4
direct
0.0000 0.0000 0.0000
0.7500 0.7500 0.7500
0.3750 0.8749 0.3750
0.3750 0.3750 0.8749
0.3750 0.3750 0.3750
0.8749 0.3750 0.3750
```



Computed, not measured: ScMo3H after structural relaxation at the PBEsol level of DFT.

Computed properties:
- total energy (eV/atom) = -6.237
- total magnetic moment (μB/atom) = 0.00
- space-group type = No. 221
- calculated density (g/cm³) = 5.98

POSCAR file:
```
ScMo3H
1.0
-0.7389 4.3024 1.1924
-3.6501 0.1139 -2.6726
-2.5709 -1.3981 3.4517
Mo H Sc
3 1 1
direct
0.5000 0.0000 0.0000
0.0000 0.5000 0.0000
0.0000 0.0000 0.5000
0.5000 0.5000 0.5000
0.0000 0.0000 0.0000
```



Computed, not measured: Ag2SbSe after structural relaxation at the PBEsol level of DFT.

Computed properties:
- total energy (eV/atom) = -3.584
- total magnetic moment (μB/atom) = 0.00
- space-group type = No. 160
- calculated density (g/cm³) = 8.41

POSCAR file:
```
Ag2SbSe
1.0
3.0861 0.0000 0.0000
1.5430 2.6726 0.0000
1.5430 0.8909 9.9639
Ag Se Sb
2 1 1
direct
0.7431 0.7431 0.7706
0.0026 0.0026 0.9922
0.2649 0.2649 0.2053
0.4894 0.4894 0.5318
```



Computed, not measured: LaNiPt3 after structural relaxation at the PBEsol level of DFT.

Computed properties:
- total energy (eV/atom) = -6.593
- total magnetic moment (μB/atom) = 0.10
- space-group type = No. 221
- calculated density (g/cm³) = 13.38
- energy of formation from the pure elements (kcal/mol of atoms) = -2.64

POSCAR file:
```
LaNiPt3
1.0
-3.7269 2.4193 -1.1788
0.4858 -1.3757 -4.3594
-2.6470 -3.6588 0.8596
Ni Pt La
1 3 1
direct
0.0000 0.0000 0.0000
0.0000 0.0000 0.5000
0.0000 0.5000 0.0000
0.5000 0.0000 0.0000
0.5000 0.5000 0.5000
```